Record 1
# La3YPt2

An optimized crystal structure of La3YPt2 (GGA-PBE, Alexandria via LeMat-Bulk).

Properties
E_form, meV per atom: -766
Space-group type: P-1 (2)

The structure in POSCAR format:
```
La3YPt2
1.0
-2.576 -3.643 1.956
2.303 -3.109 -2.767
5.458 2.504 5.596
La Y Pt
3 1 2
Cartesian
3.173 -1.880 0.560
-0.136 -3.376 -0.406
2.011 -2.369 4.225
0.000 0.000 0.000
-0.020 -2.042 2.363
5.205 -2.207 2.422
```

Record 2
# PuCd8Au6

An optimized crystal structure of PuCd8Au6 (GGA-PBE, Alexandria via LeMat-Bulk).

Properties
E_form, meV per atom: -180
Space-group type: R-3 (148)

The structure in POSCAR format:
```
PuCd8Au6
1.0
7.010 0.231 2.641
1.905 6.750 2.641
0.295 0.232 7.486
Cd Pu Au
8 1 6
Cartesian
1.911 3.220 7.413
3.082 2.414 4.273
5.904 1.083 5.739
3.307 6.130 7.029
4.543 1.741 8.617
4.667 5.472 4.152
6.128 4.799 8.495
7.300 3.993 5.355
0.000 0.000 0.000
5.745 2.862 3.326
3.466 4.351 9.442
7.366 2.321 7.775
1.845 4.891 4.993
6.110 6.594 6.267
3.101 0.618 6.501
```

Record 3
# Ca4Cd2GaHg

An optimized crystal structure of Ca4Cd2GaHg (GGA-PBE, Alexandria via LeMat-Bulk).

Properties
E_form, meV per atom: -429
Space-group type: R-3m (166)

The structure in POSCAR format:
```
Ca4Cd2GaHg
1.0
-4.104 -3.112 -1.420
-2.491 -2.977 3.671
-7.757 4.579 2.338
Cd Ca Ga Hg
2 4 1 1
Cartesian
-3.593 -0.371 1.149
-10.759 -1.138 3.441
-8.701 -3.584 2.853
-9.237 1.695 2.883
-5.651 2.075 1.736
-5.115 -3.205 1.706
-7.176 -0.755 2.295
0.000 0.000 0.000
```

Record 4
# LaSm2Tm5Th

An optimized crystal structure of LaSm2Tm5Th (GGA-PBE, Alexandria via LeMat-Bulk).

Properties
E_form, meV per atom: 283
Space-group type: I4/mcm (140)

The structure in POSCAR format:
```
LaSm2Tm5Th
1.0
8.650 0.000 0.000
0.000 8.650 0.000
-4.325 -4.325 7.698
Tm Sm La Th
10 4 2 2
Cartesian
6.828 2.503 2.102
2.503 -1.821 5.596
-2.503 1.821 5.596
2.503 1.821 2.102
-1.821 -2.503 5.596
4.325 4.325 0.000
0.000 0.000 0.000
6.146 6.828 2.102
1.821 6.146 2.102
1.821 2.503 5.596
7.645 5.329 0.000
1.005 3.320 0.000
5.329 1.005 0.000
3.320 7.645 0.000
4.325 0.000 3.849
0.000 4.325 3.849
4.325 4.325 3.849
0.000 0.000 3.849
```

Record 5
# USnSbAu

An optimized crystal structure of USnSbAu (GGA-PBE, Alexandria via LeMat-Bulk).

Properties
Final energy, eV per cell: -22.82
Space-group type: F-43m (216)

The structure in POSCAR format:
```
USnSbAu
1.0
5.177 0.000 0.000
2.589 4.484 0.000
2.589 1.495 4.227
U Sb Au Sn
1 1 1 1
Cartesian
7.766 4.484 3.171
0.000 0.000 0.000
5.177 2.989 2.114
2.589 1.495 1.057
```

Record 6
# CaLa3Tc

An optimized crystal structure of CaLa3Tc (GGA-PBE, Alexandria via LeMat-Bulk).

Properties
E_form, meV per atom: 1662
Space-group type: Pm-3m (221)

The structure in POSCAR format:
```
CaLa3Tc
1.0
5.530 0.000 0.000
0.000 5.530 0.000
0.000 0.000 5.530
La Tc Ca
3 1 1
Cartesian
2.765 0.000 0.000
0.000 0.000 2.765
0.000 2.765 0.000
2.765 2.765 2.765
0.000 0.000 0.000
```

| no. | total magnetization (μB per cell) | DOS at the Fermi energy (states/eV per atom) | calculated density (kg/m3) |
| --- | --- | --- | --- |
| 1 | 0.00 | 1.17 | 8579 |
| 2 | 5.31 | 1.07 | 11265 |
| 3 | 0.00 | 0.65 | 5015 |
| 4 | 0.00 | 1.12 | 8745 |
| 5 | 2.40 | 1.64 | 11430 |
| 6 | 0.27 | 2.35 | 5447 |